{
  "formula": "Nb2ZnPt",
  "functional": "PBE",
  "state": "relaxed",
  "cell": [[2.7957, -0.4326, 0.0000], [-1.9603, 6.0071, 0.0000], [0.0000, 0.0000, 4.1166]],
  "species": ["Nb", "Nb", "Pt", "Zn"],
  "fractional_positions": [[0.4964, 0.4973, 0.0000], [0.0036, 0.0027, 0.0000], [0.2500, 0.7500, 0.5000], [0.7500, 0.2500, 0.5000]],
  "energy_ry_per_atom": -0.5305,
  "formation_energy_ev_per_atom": -0.35,
  "spacegroup": "No. 10",
  "n_ef_per_ev_cell": 3.20
}